The following is a DFT calculation (GGA-PBE) of an optimized crystal structure of Sr2CuHPd.

Cell and atoms, written as POSCAR:
```
Sr2CuHPd
1.0
5.287 0.000 0.000
0.000 5.287 0.000
0.000 0.000 3.777
Sr Cu H Pd
2 1 1 1
Cartesian
0.000 2.644 0.000 Sr
2.644 0.000 0.000 Sr
0.000 0.000 1.889 Cu
0.000 0.000 0.000 H
2.644 2.644 1.889 Pd
```

Output
Relative energy among the computed polymorphs = 4 meV per atom
Symmetry = P4/mmm
Crystal system = tetragonal